Version P
LiTa2Co: relaxed, PBE-GGA.

Output
* total magnetization: 0.0 μB per formula unit
* space-group type: P4/mmm, No. 123

```
4
Lattice="-1.2481 2.0423 -3.3039 -3.1478 -2.5728 -0.4012 -1.9436 2.0645 2.0103" Properties=species:S:1:pos:R:3 pbc="T T T"
Co -1.5959 2.0534 -0.6468
Li -2.5457 -0.2542 0.8046
Ta 0.0000 0.0000 0.0000
Ta -2.1980 -0.2653 -1.8526
```

***

Version Q
LiTa2Co: relaxed, PBE-GGA.

Output
* total magnetization: 0.0 μB per formula unit
* space-group type: Cmmm, No. 65

```
4
Lattice="4.6554 0.0408 0.0000 -1.2537 4.4837 0.0000 0.0000 0.0000 2.7906" Properties=species:S:1:pos:R:3 pbc="T T T"
Co 2.3277 0.0204 1.3953
Li -0.6268 2.2418 1.3953
Ta 0.0000 0.0000 0.0000
Ta 1.7009 2.2622 0.0000
```

***

From most stable to least stable, the computed energies give version P, version Q.

***

Version P
LiTa2Co: relaxed, PBE-GGA.

Output
* total magnetization: 0.0 μB per formula unit
* space-group type: P4mm, No. 99

```
4
Lattice="-0.2994 -2.1927 -2.1121 0.8248 -2.1014 2.0646 -6.2353 -0.7817 1.6954" Properties=species:S:1:pos:R:3 pbc="T T T"
Co -3.0971 -0.3883 0.8421
Li -4.1818 -2.7042 1.1847
Ta -6.2064 -0.7781 1.6876
Ta -1.5775 -2.3777 0.4766
```

***

Version Q
LiTa2Co: relaxed, PBE-GGA.

Output
* total magnetization: 0.0 μB per formula unit
* space-group type: P2/m, No. 10

```
4
Lattice="-1.4636 2.8306 -2.1424 1.1389 -1.1276 -2.2679 -3.7915 -3.8378 -2.4804" Properties=species:S:1:pos:R:3 pbc="T T T"
Co -1.3949 0.1739 -2.2583
Li -2.7212 -2.3088 -4.6324
Ta -0.0409 -0.0733 -0.0689
Ta -1.2854 -2.4094 -2.3052
```

***

Version R
LiTa2Co: relaxed, PBE-GGA.

Output
* total magnetization: 0.0 μB per formula unit
* space-group type: Imm2, No. 44

```
4
Lattice="-3.8432 2.8524 2.1445 -3.9740 1.5519 -3.0502 2.7038 -4.0212 2.0062" Properties=species:S:1:pos:R:3 pbc="T T T"
Co -3.9041 2.1996 -0.4523
Li -2.8096 -0.0095 -0.7740
Ta -7.7798 4.3831 -0.9014
Ta -2.3458 0.4163 1.8696
```

***

From most stable to least stable, the computed energies give version P, version R, version Q.

***

Version P
LiTa2Co: relaxed, PBE-GGA.

Output
* total magnetization: 0.0 μB per formula unit
* space-group type: R-3m, No. 166

```
4
Lattice="-2.5155 -6.7141 -6.3405 0.2744 -6.8700 -6.6585 -0.9913 -8.3273 -4.6133" Properties=species:S:1:pos:R:3 pbc="T T T"
Co -0.8081 -5.4779 -4.4031
Li -2.4243 -16.4336 -13.2092
Ta -3.2040 -21.7194 -17.4579
Ta -1.6445 -11.1478 -8.9605
```

***

Version Q
LiTa2Co: relaxed, PBE-GGA.

Output
* total magnetization: 0.0 μB per formula unit
* space-group type: Cmmm, No. 65

```
4
Lattice="2.7412 -0.0104 0.0000 -0.2866 2.7262 0.0000 0.0000 0.0000 8.6946" Properties=species:S:1:pos:R:3 pbc="T T T"
Co 1.2273 1.3579 2.1736
Li 1.2273 1.3579 6.5209
Ta 0.0000 0.0000 0.3558
Ta 0.0000 0.0000 3.9915
```

***

From most stable to least stable, the computed energies give version Q, version P.

***

Version P
LiTa2Co: relaxed, PBE-GGA.

Output
* total magnetization: 0.0 μB per formula unit
* space-group type: P2/m, No. 10

```
4
Lattice="-2.0640 -0.2211 1.7160 -0.5566 -5.1112 -1.3280 2.4000 -3.9352 2.3798" Properties=species:S:1:pos:R:3 pbc="T T T"
Co -0.1103 -4.6338 1.3839
Li 1.2000 -1.9676 1.1899
Ta 0.0000 0.0000 0.0000
Ta -1.3103 -2.6662 0.1940
```

***

Version Q
LiTa2Co: relaxed, PBE-GGA.

Output
* total magnetization: 0.0 μB per formula unit
* space-group type: Pmmm, No. 47

```
4
Lattice="-1.8402 -0.5486 -1.9969 2.7551 -1.3846 -2.1585 -0.8594 -5.1503 2.2068" Properties=species:S:1:pos:R:3 pbc="T T T"
Co 0.2426 -2.2542 -1.5260
Li -0.1871 -4.8293 -0.4226
Ta -0.0108 -0.0644 0.0276
Ta -0.4189 -2.5107 1.0758
```

***

Version R
LiTa2Co: relaxed, PBE-GGA.

Output
* total magnetization: 2.0 μB per formula unit
* space-group type: F-43m, No. 216

```
4
Lattice="-0.8748 -3.1868 -2.9267 -0.3543 -4.1910 1.3402 -3.9416 -1.9874 0.0131" Properties=species:S:1:pos:R:3 pbc="T T T"
Co -2.5853 -4.6826 -0.7867
Li -1.2927 -2.3413 -0.3933
Ta 0.0000 0.0000 0.0000
Ta -3.8780 -7.0239 -1.1800
```

***

Version S
LiTa2Co: relaxed, PBE-GGA.

Output
* total magnetization: 1.3 μB per formula unit
* space-group type: Cmm2, No. 35

```
4
Lattice="2.7539 -0.0601 0.0000 -0.8115 2.6323 0.0000 0.0000 0.0000 8.9345" Properties=species:S:1:pos:R:3 pbc="T T T"
Co 0.0000 0.0000 4.4284
Li 0.9712 1.2861 6.4286
Ta 0.0000 0.0000 0.0544
Ta 0.9712 1.2861 2.4903
```

***

From most stable to least stable, the computed energies give version S, version Q, version P, version R.

***

Version P
Li2CoTc: relaxed, PBE-GGA.

Output
* total magnetization: 0.0 μB per formula unit
* space-group type: F-43m, No. 216

```
4
Lattice="4.0551 0.0000 0.0000 2.0275 3.5118 0.0000 2.0275 1.1706 3.3109" Properties=species:S:1:pos:R:3 pbc="T T T"
Co 4.0551 2.3412 1.6555
Li 0.0000 0.0000 0.0000
Li 2.0275 1.1706 0.8277
Tc 6.0826 3.5118 2.4832
```

***

Version Q
Li2CoTc: relaxed, PBE-GGA.

Output
* total magnetization: 0.0 μB per formula unit
* space-group type: C2/m, No. 12

```
4
Lattice="5.0160 0.0217 0.3666 4.3381 2.5182 0.3666 1.0395 0.2823 4.1362" Properties=species:S:1:pos:R:3 pbc="T T T"
Co 2.5984 0.7055 1.2173
Li 9.2359 2.5078 0.7704
Li 5.3150 1.4432 2.3974
Tc 7.7952 2.1166 3.6520
```

***

Version R
Li2CoTc: relaxed, PBE-GGA.

Output
* total magnetization: 1.1 μB per formula unit
* space-group type: I-42d, No. 122

```
8
Lattice="-6.3993 0.1000 1.7735 -1.7761 -0.4720 -6.3819 -4.0772 -2.5116 -2.1351" Properties=species:S:1:pos:R:3 pbc="T T T"
Co -4.0877 -0.1860 -2.3042
Co -4.9705 -1.5848 -5.4106
Tc 0.0000 0.0000 0.0000
Tc -7.2821 -1.2988 -1.3329
Li -5.1168 -0.6263 -0.2574
Li -3.0533 -0.9085 -4.2664
Li -6.1581 -2.0323 -3.4532
Li -10.1769 -2.2000 -5.5099
```

***

Version S
Li2CoTc: relaxed, PBE-GGA.

Output
* total magnetization: 2.1 μB per formula unit
* space-group type: R-3m, No. 166

```
4
Lattice="9.2516 0.0029 0.0017 8.8872 2.5709 0.0017 8.8872 1.2610 2.2403" Properties=species:S:1:pos:R:3 pbc="T T T"
Co 20.2695 2.8761 1.6828
Li 0.0823 0.0117 0.0068
Li 13.4307 1.9057 1.1150
Tc 6.7565 0.9587 0.5609
```

***

From most stable to least stable, the computed energies give version Q, version P, version S, version R.

***

Version P
Li2CoTc: relaxed, PBE-GGA.

Output
* total magnetization: 1.2 μB per formula unit
* space-group type: P2/m, No. 10

```
4
Lattice="4.5775 0.0000 0.0000 0.0000 2.4834 -0.0135 0.0000 0.3434 4.5179" Properties=species:S:1:pos:R:3 pbc="T T T"
Co 2.2887 2.1201 3.3783
Li 0.0000 2.6877 4.4957
Li 0.0000 1.5524 2.2610
Tc 2.2887 0.7067 1.1261
```

***

Version Q
Li2CoTc: relaxed, PBE-GGA.

Output
* total magnetization: 0.0 μB per formula unit
* space-group type: Immm, No. 71

```
4
Lattice="-2.9161 -3.7497 2.1920 0.8014 -1.7762 4.8550 -1.1732 3.8546 -3.3368" Properties=species:S:1:pos:R:3 pbc="T T T"
Co -0.7145 -0.3423 2.5209
Li -0.0330 -0.0862 0.1100
Li -1.0243 -2.6767 3.4135
Tc -2.5733 -1.3290 1.1893
```

***

From most stable to least stable, the computed energies give version Q, version P.

***

Version P
Li2CoTc: relaxed, PBE-GGA.

Output
* total magnetization: 0.6 μB per formula unit
* space-group type: P4mm, No. 99

```
4
Lattice="-1.5040 -0.6710 -2.1803 -1.1040 -2.0712 1.3990 -5.4391 4.4984 2.3675" Properties=species:S:1:pos:R:3 pbc="T T T"
Co -5.3203 1.9506 1.3576
Li -5.2479 4.3403 2.2843
Li -2.7136 -0.2053 0.2229
Tc -2.9238 2.4182 1.2727
```

***

Version Q
Li2CoTc: relaxed, PBE-GGA.

Output
* total magnetization: 1.7 μB per formula unit
* space-group type: Cmm2, No. 35

```
4
Lattice="2.5640 0.0278 0.0000 -0.8700 2.4121 0.0000 0.0000 0.0000 9.0871" Properties=species:S:1:pos:R:3 pbc="T T T"
Co 0.8470 1.2199 6.7553
Li 0.0000 0.0000 8.8518
Li 0.8470 1.2199 2.4163
Tc 0.0000 0.0000 4.6942
```

***

From most stable to least stable, the computed energies give version P, version Q.

***

Version P
Li2CoTc: relaxed, PBE-GGA.

Output
* total magnetization: 0.6 μB per formula unit
* space-group type: Cm, No. 8

```
4
Lattice="-2.7137 0.3590 -3.3486 -3.4601 -1.6482 -2.0041 -3.3386 2.8802 2.4463" Properties=species:S:1:pos:R:3 pbc="T T T"
Co -2.5318 0.5079 -0.6475
Li -9.4025 1.5507 -2.9055
Li -7.2084 1.2640 -2.1153
Tc -4.6383 0.6548 -1.5977
```

***

Version Q
Li2CoTc: relaxed, PBE-GGA.

Output
* total magnetization: 0.0 μB per formula unit
* space-group type: Pmm2, No. 25

```
4
Lattice="2.5579 0.0000 0.0000 0.0000 3.7808 0.0000 0.0000 0.0000 5.5138" Properties=species:S:1:pos:R:3 pbc="T T T"
Co 1.2790 1.8904 3.9139
Li 0.0000 0.0000 0.0397
Li 1.2790 1.8904 1.3204
Tc 0.0000 0.0000 2.9968
```

***

From most stable to least stable, the computed energies give version Q, version P.

***

Version P
Li2CoTc: relaxed, PBE-GGA.

Output
* total magnetization: 3.3 μB per formula unit
* space-group type: Fm-3m, No. 225

```
4
Lattice="3.5600 1.8645 0.8690 0.4908 1.9162 3.6044 2.5094 -1.5844 2.8456" Properties=species:S:1:pos:R:3 pbc="T T T"
Co 0.0000 0.0000 0.0000
Tc 3.2801 1.0982 3.6595
Li 1.6401 0.5491 1.8298
Li 4.9202 1.6473 5.4893
```

***

Version Q
Li2CoTc: relaxed, PBE-GGA.

Output
* total magnetization: 1.5 μB per formula unit
* space-group type: Cmmm, No. 65

```
4
Lattice="-1.0625 1.7632 -1.3779 1.3832 -1.2935 -1.5969 -6.8886 -5.3974 -1.5947" Properties=species:S:1:pos:R:3 pbc="T T T"
Co -5.0061 -3.8132 -2.6834
Li -6.8136 -5.3387 -1.5774
Li -3.5192 -2.7574 -0.8147
Tc -1.5618 -1.1145 -1.8861
```

***

From most stable to least stable, the computed energies give version Q, version P.

***

Version P
LiCo2Tc: relaxed, PBE-GGA.

Output
* total magnetization: 1.1 μB per formula unit
* space-group type: Immm, No. 71

```
4
Lattice="-1.3664 -3.4348 -2.9220 2.4871 -3.9991 0.1567 -2.7175 3.0165 2.3914" Properties=species:S:1:pos:R:3 pbc="T T T"
Co 1.1117 -7.3746 -2.7432
Co 0.5693 -3.7763 -1.4047
Li -1.7618 -2.0676 -0.9566
Tc 0.1650 -2.3498 0.5828
```

***

Version Q
LiCo2Tc: relaxed, PBE-GGA.

Output
* total magnetization: 0.7 μB per formula unit
* space-group type: Imm2, No. 44

```
4
Lattice="5.1956 0.0576 0.0109 2.8008 4.3764 -0.0109 -3.4468 -3.2114 2.1918" Properties=species:S:1:pos:R:3 pbc="T T T"
Co 7.9502 4.4084 0.0000
Co 3.0971 -0.3444 1.1013
Li 4.0666 2.2549 0.0000
Tc 1.4303 1.5547 1.0905
```

***

Version R
LiCo2Tc: relaxed, PBE-GGA.

Output
* total magnetization: 3.8 μB per formula unit
* space-group type: C2/m, No. 12

```
4
Lattice="4.7965 -0.0139 0.0056 -2.0802 4.3219 0.0056 0.3460 0.5487 2.3755" Properties=species:S:1:pos:R:3 pbc="T T T"
Co 0.0000 0.0000 0.0000
Co 1.3581 2.1540 0.0056
Li 2.5712 0.2674 1.1906
Tc -0.8671 2.4353 1.1906
```

***

Version S
LiCo2Tc: relaxed, PBE-GGA.

Output
* total magnetization: 0.0 μB per formula unit
* space-group type: I-4m2, No. 119

```
4
Lattice="-1.1496 -1.1033 4.2220 3.4902 -1.1883 2.6020 -0.8868 3.4877 -2.7228" Properties=species:S:1:pos:R:3 pbc="T T T"
Co 0.0000 0.0000 0.0000
Co 1.8869 0.5768 1.6456
Li 1.1703 -1.1458 3.4120
Tc -0.4330 0.6193 2.4556
```

***

From most stable to least stable, the computed energies give version Q, version R, version S, version P.

***

Version P
LiCo2Tc: relaxed, PBE-GGA.

Output
* total magnetization: 2.2 μB per formula unit
* space-group type: P4/mmm, No. 123

```
4
Lattice="-0.0606 1.1013 -4.1385 4.1014 -1.1762 -0.3731 -0.7610 -2.4505 -0.6409" Properties=species:S:1:pos:R:3 pbc="T T T"
Co 0.0000 0.0000 0.0000
Co 2.0204 -0.0374 -2.2558
Li -0.4108 -0.6746 -2.3897
Tc 1.6702 -1.8133 -0.5070
```

***

Version Q
LiCo2Tc: relaxed, PBE-GGA.

Output
* total magnetization: 1.8 μB per formula unit
* space-group type: F-43m, No. 216

```
4
Lattice="-0.7800 3.9382 0.2622 -3.6974 1.3754 -0.7902 -2.3062 1.3995 2.9849" Properties=species:S:1:pos:R:3 pbc="T T T"
Co 0.0000 0.0000 0.0000
Co -1.6959 1.6783 0.6142
Li -3.3919 3.3566 1.2285
Tc -5.0878 5.0349 1.8427
```

***

From most stable to least stable, the computed energies give version P, version Q.

***

Version P
LiCo2Tc: relaxed, PBE-GGA.

Output
* total magnetization: 0.0 μB per formula unit
* space-group type: P4/mmm, No. 123

```
4
Lattice="-2.5843 -0.5177 0.6048 -0.5954 -0.1069 -2.6356 1.2557 -6.3006 -0.0281" Properties=species:S:1:pos:R:3 pbc="T T T"
Co 0.0065 -0.0325 -0.0001
Co 0.6214 -3.1178 -0.0139
Li -1.2759 -1.8875 -1.0224
Tc -0.6480 -5.0378 -1.0365
```

***

Version Q
LiCo2Tc: relaxed, PBE-GGA.

Output
* total magnetization: 2.8 μB per formula unit
* space-group type: P4mm, No. 99

```
4
Lattice="-0.1498 0.2347 2.5185 -2.0546 -1.4828 0.0134 4.5611 -6.3123 0.8596" Properties=species:S:1:pos:R:3 pbc="T T T"
Co 0.0899 -0.1244 0.0169
Co -0.0727 -2.0489 1.4600
Li 2.2080 -3.0557 0.4161
Tc 2.4121 -5.4876 1.9283
```

***

From most stable to least stable, the computed energies give version P, version Q.